The following is a DFT calculation (PBE+U) of a relaxed structure of FeW3O.

VASP energy: -5.53 eV per atom

a b c (Å): 4.194 4.194 4.194
angles (deg): 90.00 90.00 90.00
Fractional positions:
O 0.000 0.000 0.000
Fe 0.500 0.500 0.500
W 0.000 0.500 0.000
W 0.000 0.000 0.500
W 0.500 0.000 0.000